# 1
Entry from the Alexandria database: a relaxed RbCd2Pt2 crystal (PBEsol).

Offset from the most stable computed form   0.069 eV/atom
Calculated density   10007 kg/m3
Energy of formation from the pure elements   -81 meV per atom

Lattice parameters (Å, degrees): 6.4512 6.4512 6.4512 138.60 138.60 59.99
Last column: nearest neighbours and their distance in Å.
Element x y z (fractional)
Rb 0.0000 0.0000 0.0000  8 Pt 3.46, 8 Cd 3.61
Cd 0.2500 0.7500 0.5000  4 Pt 2.75
Cd 0.7500 0.2500 0.5000  4 Pt 2.75
Pt 0.3871 0.3871 0.0000  1 Pt 2.52, 4 Cd 2.75
Pt 0.6129 0.6129 0.0000  1 Pt 2.52, 4 Cd 2.75

***

# 2
Entry from the Alexandria database: a relaxed RbCd2Pt2 crystal (PBEsol).

Offset from the most stable computed form   0.000 eV/atom
Calculated density   11485 kg/m3
Energy of formation from the pure elements   -150 meV per atom

Lattice parameters (Å, degrees): 8.3235 8.3235 2.9236 90.00 90.00 90.00
Last column: nearest neighbours and their distance in Å.
Element x y z (fractional)
Rb 0.0000 0.0000 0.0000  2 Rb 2.92, 4 Pt 3.15
Rb 0.5000 0.5000 0.0000  2 Rb 2.92, 4 Pt 3.15
Cd 0.1384 0.3616 0.5000  6 Pt 2.84-2.85, 2 Cd 2.92
Cd 0.3616 0.8616 0.5000  6 Pt 2.84-2.85, 2 Cd 2.92
Cd 0.6384 0.1384 0.5000  6 Pt 2.84-2.85, 2 Cd 2.92
Cd 0.8616 0.6384 0.5000  6 Pt 2.84-2.85, 2 Cd 2.92
Pt 0.1550 0.6550 0.0000  6 Cd 2.84-2.85, 2 Pt 2.92, 2 Rb 3.15
Pt 0.3450 0.1550 0.0000  6 Cd 2.84-2.85, 2 Pt 2.92, 2 Rb 3.15
Pt 0.6550 0.8450 0.0000  6 Cd 2.84-2.85, 2 Pt 2.92, 2 Rb 3.15
Pt 0.8450 0.3450 0.0000  6 Cd 2.84-2.85, 2 Pt 2.92, 2 Rb 3.15

***

# 3
Entry from the Alexandria database: a relaxed RbCdSn2Pt crystal (PBEsol).

Calculated density   6871 kg/m3
Energy of formation from the pure elements   453 meV per atom

Lattice parameters (Å, degrees): 5.4219 5.4219 5.1824 90.00 90.00 90.00
Last column: nearest neighbours and their distance in Å.
Element x y z (fractional)
Rb 0.0000 0.0000 0.0000  8 Sn 3.75, 4 Pt 3.83
Cd 0.5000 0.5000 0.5000  2 Pt 2.59, 4 Sn 2.71
Sn 0.0000 0.5000 0.5000  2 Cd 2.71
Sn 0.5000 0.0000 0.5000  2 Cd 2.71
Pt 0.5000 0.5000 0.0000  2 Cd 2.59

***

# 4
Entry from the Alexandria database: a relaxed CdRePt crystal (PBEsol).

Offset from the most stable computed form   0.000 eV/atom
Calculated density   17101 kg/m3
Energy of formation from the pure elements   111 meV per atom

Lattice parameters (Å, degrees): 6.5697 6.5697 6.5697 155.71 155.71 34.62
Last column: nearest neighbours and their distance in Å.
Element x y z (fractional)
Cd 0.0000 0.0000 0.0000  4 Cd 2.76, 4 Re 2.96, 4 Pt 2.96
Re 0.3226 0.3226 0.0000  4 Pt 2.67, 4 Re 2.76, 4 Cd 2.96
Pt 0.6775 0.6775 0.0000  4 Re 2.67, 4 Pt 2.76, 4 Cd 2.96

***

# 5
Entry from the Alexandria database: a relaxed CdRePt crystal (PBEsol).

Offset from the most stable computed form   0.811 eV/atom
Calculated density   14481 kg/m3
Energy of formation from the pure elements   922 meV per atom

Lattice parameters (Å, degrees): 4.3100 4.3100 4.3100 60.00 60.00 60.00
Last column: nearest neighbours and their distance in Å.
Element x y z (fractional)
Cd 0.0000 0.0000 0.0000  4 Re 2.64
Re 0.2500 0.2500 0.2500  4 Cd 2.64, 4 Pt 2.64
Pt 0.5000 0.5000 0.5000  4 Re 2.64

***

# 6
Entry from the Alexandria database: a relaxed CdRePt crystal (PBEsol).

Offset from the most stable computed form   0.039 eV/atom
Calculated density   17182 kg/m3
Energy of formation from the pure elements   151 meV per atom

Lattice parameters (Å, degrees): 2.8072 2.8072 6.9914 90.00 90.00 120.00
Last column: nearest neighbours and their distance in Å.
Element x y z (fractional)
Cd 0.0000 0.0000 0.0000  6 Cd 2.81, 3 Pt 2.91, 3 Re 2.95
Re 0.6667 0.3333 0.3520  3 Pt 2.66, 6 Re 2.81, 3 Cd 2.95
Pt 0.3333 0.6667 0.6544  3 Re 2.66, 6 Pt 2.81, 3 Cd 2.91

***

| no. | total moment (μB per cell) |
| --- | --- |
| 1 | 0.00 |
| 2 | 0.00 |
| 3 | 0.00 |
| 4 | 0.00 |
| 5 | 0.51 |
| 6 | 0.00 |